Material: TlVCuP2
Method: DFT, PBE
State: optimized geometry

Calculated values
Calculated formation energy (eV/atom): 1.964
Space group: P4/mmm (123)

Unit cell a=5.0583 b=5.1194 c=5.0583 alpha=90.00 beta=90.00 gamma=90.00
Last column: nearest neighbours and their distance in Å.
Sites, in units of the cell vectors:
Cu (0.5000, 0.5000, 0.5000)  4 V 3.58, 8 P 3.60
P (0.5000, 0.0000, 0.0000)  2 Tl 2.53
P (0.0000, 0.0000, 0.5000)  2 Tl 2.53
Tl (0.0000, 0.0000, 0.0000)  4 P 2.53, 2 V 2.56
V (0.0000, 0.5000, 0.0000)  2 Tl 2.56